1.
The following is a DFT calculation (PBE-GGA) of a geometry-optimized TbPm3P structure.

Formation enthalpy at 0 K = -0.389 eV per atom

extended XYZ file:
```
5
Lattice="5.539 0.000 0.000 0.000 5.539 0.000 0.000 0.000 5.539" Properties=species:S:1:pos:R:3 pbc="T T T"
Pm 0.000 0.000 2.770
Tb 2.770 2.770 2.770
P 0.000 0.000 0.000
Pm 2.770 0.000 0.000
Pm 0.000 2.770 0.000
```


2.
The following is a DFT calculation (PBE-GGA) of a geometry-optimized ScRe2O2 structure.

ΔE_f (raw) = 170 meV per atom
Distance to the lowest polymorph of the same formula = 0.5378 eV per atom

extended XYZ file:
```
10
Lattice="7.417 0.000 0.000 0.000 7.417 0.000 0.000 0.000 2.736" Properties=species:S:1:pos:R:3 pbc="T T T"
Sc 0.000 0.000 0.000
Re 6.557 4.568 0.000
O 1.911 1.797 1.368
O 5.506 5.619 1.368
Re 4.568 0.859 0.000
Re 2.849 6.557 0.000
Re 0.859 2.849 0.000
O 5.619 1.911 1.368
Sc 3.708 3.708 0.000
O 1.797 5.506 1.368
```


3.
The following is a DFT calculation (PBE-GGA) of a geometry-optimized GaSbAu14 structure.

ΔE_f (raw) = 16 meV per atom

extended XYZ file:
```
16
Lattice="-0.745 1.272 -5.788 -4.832 -1.092 3.337 -0.629 9.204 2.103" Properties=species:S:1:pos:R:3 pbc="T T T"
Au -4.344 0.029 -1.426
Au -3.454 2.158 0.439
Ga -2.950 4.780 -0.515
Au -1.067 2.629 -1.250
Au -3.796 2.717 -2.449
Sb -4.953 3.622 3.957
Au -3.990 -0.605 1.457
Au -1.383 7.261 -0.191
Au -1.407 3.239 -4.140
Au -3.760 6.642 1.463
Au -5.385 4.245 1.098
Au -4.112 7.348 -1.391
Au -1.944 0.578 -3.111
Au -1.595 -0.059 -0.218
Au -1.726 7.922 -3.070
Au -2.524 4.153 2.355
```


4.
The following is a DFT calculation (PBE-GGA) of a geometry-optimized Cs2UTl3S6 structure.

ΔE_f (raw) = -861 meV per atom

extended XYZ file:
```
12
Lattice="8.561 -0.220 0.071 -4.469 7.305 0.071 -1.304 -2.258 6.648" Properties=species:S:1:pos:R:3 pbc="T T T"
Cs 4.361 2.205 0.071
S 0.715 4.834 5.293
S -0.192 -0.333 5.228
Tl 1.394 2.413 3.395
U 0.000 0.000 0.000
S 2.072 -0.007 1.498
S 3.829 3.035 5.293
Tl 6.235 -0.383 3.395
Cs -0.269 4.879 0.071
Tl -3.448 5.210 3.395
S -1.042 1.792 1.498
S 2.980 5.160 1.562
```


no.,final energy (hartree per atom),magnetization (Bohr magnetons per cell)
1,-0.1928,0.00
2,-0.2961,0.00
3,-0.1212,0.00
4,-0.1690,0.00